Entry 1:
Density functional theory data (GGA-PBE) for crystalline TlS3Cl3 at its relaxed geometry.

Structure (extended XYZ):
```
14
Lattice="-5.696 5.279 -0.061 -8.643 -1.564 -3.816 -9.636 -0.765 4.114" Properties=species:S:1:pos:R:3 pbc="T T T"
Tl -10.514 4.658 -0.016
Tl -13.461 -1.708 0.253
S -13.646 3.159 2.714
S -16.166 -1.909 -0.084
S -12.932 2.577 -3.112
S -11.043 0.373 3.349
S -7.808 4.858 0.322
S -10.329 -0.210 -2.477
Cl -9.380 2.745 -1.764
Cl -11.145 -0.837 0.443
Cl -9.881 3.154 2.306
Cl -14.094 -0.205 -2.069
Cl -12.831 3.787 -0.206
Cl -14.595 0.205 2.001
```

Calculated values
Electronic total energy   -43.64 eV for the cell shown
SG   P-1 (2)



Entry 2:
Density functional theory data (GGA-PBE) for crystalline TlS2Cl8 at its relaxed geometry.

Structure (extended XYZ):
```
11
Lattice="-7.138 2.484 1.428 -1.764 -2.436 6.934 0.541 4.860 5.763" Properties=species:S:1:pos:R:3 pbc="T T T"
Tl 0.000 0.000 0.000
S -5.281 3.466 11.205
S -3.081 1.442 2.920
Cl -1.551 3.808 6.682
Cl -5.550 5.091 6.803
Cl -3.952 2.825 9.828
Cl -4.410 2.082 4.296
Cl -2.812 -0.183 7.322
Cl -6.811 1.099 7.443
Cl -6.919 3.810 10.127
Cl -1.443 1.097 3.997
```

Calculated values
Electronic total energy   -27.96 eV for the cell shown
SG   C2/m (12)



Entry 3:
Density functional theory data (GGA-PBE) for crystalline Tl2S5Cl2 at its relaxed geometry.

Structure (extended XYZ):
```
18
Lattice="3.756 0.000 1.285 1.506 11.993 1.728 -2.086 -1.493 12.227" Properties=species:S:1:pos:R:3 pbc="T T T"
Tl 1.059 0.583 2.798
Tl 1.972 9.916 12.393
Tl 3.111 7.363 9.294
Tl 0.062 3.137 5.946
S 0.376 2.176 9.460
S 1.757 8.323 5.423
S -1.261 1.246 9.766
S 4.406 9.254 5.464
S 1.832 3.049 12.965
S 1.299 7.451 2.260
S -0.296 3.979 11.373
S 2.398 6.521 3.500
S -0.035 -0.445 6.146
S 3.158 10.944 9.077
Cl 3.686 0.000 1.261
Cl 1.596 5.250 7.623
Cl 2.660 2.741 4.378
Cl 0.449 7.759 10.840
```

Calculated values
Electronic total energy   -63.00 eV for the cell shown
SG   C2 (5)



Entry 4:
Density functional theory data (GGA-PBE) for crystalline Tl2S10Cl at its relaxed geometry.

Structure (extended XYZ):
```
26
Lattice="5.515 2.720 0.180 2.643 8.681 0.230 0.536 0.506 19.990" Properties=species:S:1:pos:R:3 pbc="T T T"
Tl 4.319 4.726 18.446
Tl 4.375 7.181 1.955
Tl 6.987 9.586 12.067
Tl 1.707 2.321 8.334
S 3.833 8.619 10.412
S 4.861 3.289 9.988
S 1.630 5.252 0.379
S 7.064 6.656 20.021
S 5.602 4.603 14.977
S 3.093 7.304 5.424
S 2.052 1.952 1.779
S 5.657 8.708 17.546
S 4.352 6.789 8.550
S 5.991 5.269 12.867
S 6.643 9.956 18.621
S 3.037 3.200 2.854
S 4.343 5.118 11.851
S 2.704 6.639 7.533
S 4.352 8.827 5.373
S 4.342 3.081 15.028
S 1.811 3.429 4.838
S 6.883 8.479 15.563
S 6.022 4.693 4.881
S 2.672 7.215 15.519
Cl 1.590 4.594 10.110
Cl 0.000 0.000 0.000
```

Calculated values
Electronic total energy   -97.10 eV for the cell shown
SG   P-1 (2)



Entry 5:
Density functional theory data (GGA-PBE) for crystalline Tl4S12Cl at its relaxed geometry.

Structure (extended XYZ):
```
17
Lattice="-6.547 -5.179 2.626 6.922 -4.907 -2.140 2.185 5.456 6.484" Properties=species:S:1:pos:R:3 pbc="T T T"
Tl 3.461 -2.454 -1.070
Tl 1.092 2.728 3.242
Tl -3.273 -2.589 1.313
Tl 1.280 -2.315 3.485
S -2.550 -1.152 5.492
S -2.297 -4.993 3.192
S 1.341 -4.005 0.764
S 3.111 0.258 2.945
S 1.219 -0.625 6.207
S 4.856 0.363 3.778
S 1.413 -5.938 0.857
S 1.147 1.307 6.113
S -0.551 -4.888 4.025
S -1.714 -1.205 3.746
S 4.274 -3.425 3.225
S 5.110 -3.478 1.479
Cl 0.000 0.000 0.000
```

Calculated values
Electronic total energy   -61.82 eV for the cell shown
SG   Im-3 (204)



Entry 6:
Density functional theory data (GGA-PBE) for crystalline TlS2Cl4 at its relaxed geometry.

Structure (extended XYZ):
```
14
Lattice="-9.348 3.951 -3.354 4.097 -7.283 -2.154 -5.638 -2.520 5.402" Properties=species:S:1:pos:R:3 pbc="T T T"
Tl -6.909 -5.190 1.814
Tl -13.294 0.608 0.792
S -9.370 -1.316 0.468
S -1.740 -3.366 0.233
S -1.722 -5.287 0.123
S -7.537 -0.932 0.011
Cl -5.878 -2.297 3.016
Cl -0.649 -5.894 -1.591
Cl -8.027 2.851 -2.178
Cl -9.640 -3.391 0.851
Cl -3.382 -2.590 -0.879
Cl -7.192 -1.254 -2.019
Cl -7.031 -5.471 -1.438
Cl -3.785 -5.522 2.965
```

Calculated values
Electronic total energy   -41.97 eV for the cell shown
SG   P1 (1)



Entry 7:
Density functional theory data (GGA-PBE) for crystalline TlSCl3 at its relaxed geometry.

Structure (extended XYZ):
```
5
Lattice="-3.475 3.271 1.617 -1.829 0.370 -4.680 -3.157 -3.815 0.933" Properties=species:S:1:pos:R:3 pbc="T T T"
Tl -4.231 -0.087 -1.066
S 0.000 0.000 0.000
Cl -0.915 0.185 -2.340
Cl -1.579 -1.907 0.466
Cl -1.737 1.636 0.808
```

Calculated values
Energy relative to the lowest polymorph listed for this composition   0.0000 eV/atom
Electronic total energy   -13.61 eV for the cell shown
SG   Pm-3m (221)



Entry 8:
Density functional theory data (GGA-PBE) for crystalline Tl3SCl at its relaxed geometry.

Structure (extended XYZ):
```
5
Lattice="-0.427 -1.298 5.846 0.355 -5.856 -1.274 5.978 0.255 0.493" Properties=species:S:1:pos:R:3 pbc="T T T"
Tl 0.177 -2.928 -0.637
Tl 2.989 0.127 0.246
Tl -0.213 -0.649 2.923
S 0.000 0.000 0.000
Cl 2.953 -3.450 2.532
```

Calculated values
Energy relative to the lowest polymorph listed for this composition   0.2961 eV/atom
Electronic total energy   -14.41 eV for the cell shown
SG   Pm-3m (221)



Entry 9:
Density functional theory data (GGA-PBE) for crystalline Tl3SCl at its relaxed geometry.

Structure (extended XYZ):
```
10
Lattice="-7.103 -0.239 -1.642 1.818 -1.699 -7.617 2.801 -5.235 4.850" Properties=species:S:1:pos:R:3 pbc="T T T"
Tl -4.249 -3.196 -5.356
Tl 0.390 -1.197 -1.513
Tl -0.741 -3.078 -4.545
Tl -1.743 -4.096 0.136
Tl 1.765 -3.978 0.947
Tl -2.874 -5.977 -2.896
S -2.278 -5.328 -5.570
S -0.206 -1.846 1.161
Cl 0.695 -4.615 -2.333
Cl -3.179 -2.559 -2.075
```

Calculated values
Energy relative to the lowest polymorph listed for this composition   0.0208 eV/atom
Electronic total energy   -31.57 eV for the cell shown
SG   C2/m (12)



Entry 10:
Density functional theory data (GGA-PBE) for crystalline TlS3Cl at its relaxed geometry.

Structure (extended XYZ):
```
5
Lattice="-4.511 0.513 -1.702 1.190 -2.578 -3.931 -1.321 -4.075 2.273" Properties=species:S:1:pos:R:3 pbc="T T T"
Tl -2.321 -3.070 -1.680
S 0.595 -1.289 -1.965
S -0.660 -2.037 1.136
S -2.256 0.257 -0.851
Cl 0.000 0.000 0.000
```

Calculated values
Energy relative to the lowest polymorph listed for this composition   1.1172 eV/atom
Electronic total energy   -12.72 eV for the cell shown
SG   Pm-3m (221)



Entry 11:
Density functional theory data (GGA-PBE) for crystalline UTlS3Cl at its relaxed geometry.

Structure (extended XYZ):
```
12
Lattice="-4.942 -4.817 -0.381 -1.118 -5.929 -4.184 4.370 -8.543 4.497" Properties=species:S:1:pos:R:3 pbc="T T T"
U 0.100 -11.518 3.459
U -1.790 -7.771 -3.526
Tl 1.359 -7.738 2.028
Tl -3.049 -11.552 -2.096
S 0.123 -15.397 0.212
S -1.005 -13.609 2.570
S -1.095 -10.166 1.861
S -1.813 -3.892 -0.279
S -0.685 -5.680 -2.637
S -0.595 -9.123 -1.929
Cl 1.701 -11.722 1.141
Cl -3.391 -7.567 -1.208
```

Calculated values
Electronic total energy   -66.20 eV for the cell shown
SG   C2/c (15)



> Number 3 is which compound?

Tl2S5Cl2



> The lowest electronic total energy belongs to which entry?

Tl2S10Cl



Please write out number 1 again, unchanged.
Density functional theory data (GGA-PBE) for crystalline TlS3Cl3 at its relaxed geometry.

Structure (extended XYZ):
```
14
Lattice="-5.696 5.279 -0.061 -8.643 -1.564 -3.816 -9.636 -0.765 4.114" Properties=species:S:1:pos:R:3 pbc="T T T"
Tl -10.514 4.658 -0.016
Tl -13.461 -1.708 0.253
S -13.646 3.159 2.714
S -16.166 -1.909 -0.084
S -12.932 2.577 -3.112
S -11.043 0.373 3.349
S -7.808 4.858 0.322
S -10.329 -0.210 -2.477
Cl -9.380 2.745 -1.764
Cl -11.145 -0.837 0.443
Cl -9.881 3.154 2.306
Cl -14.094 -0.205 -2.069
Cl -12.831 3.787 -0.206
Cl -14.595 0.205 2.001
```

Calculated values
Electronic total energy   -43.64 eV for the cell shown
SG   P-1 (2)